1.
ScCd2HgGe | PBE | relaxed

Values from the calculation:
DFT formation energy   2.441 eV/f.u.
Calculated total energy   -10.6 eV/cell
Space group   P4/mmm (123)
N(E_F)   0.802 states/eV/atom

Cell lengths 5.901, 5.901, 5.035 Å; angles 90.00, 90.00, 90.00 degrees
Fractional positions:
Sc 0.000 0.000 0.000
Cd 0.000 0.500 0.000
Cd 0.500 0.000 0.000
Hg 0.500 0.500 0.500
Ge 0.000 0.000 0.500



2.
SmCdHgGe | PBE | relaxed

Values from the calculation:
DFT formation energy   -1.169 eV/f.u.
Calculated total energy   -46.9 eV/cell
Space group   F-43m (216)
N(E_F)   0.856 states/eV/atom

Cell lengths 7.235, 7.235, 7.235 Å; angles 90.00, 90.00, 90.00 degrees
Fractional positions:
Sm 0.000 0.000 0.000
Sm 0.000 0.500 0.500
Sm 0.500 0.000 0.500
Sm 0.500 0.500 0.000
Cd 0.000 0.000 0.500
Cd 0.000 0.500 0.000
Cd 0.500 0.000 0.000
Cd 0.500 0.500 0.500
Hg 0.250 0.250 0.750
Hg 0.250 0.750 0.250
Hg 0.750 0.250 0.250
Hg 0.750 0.750 0.750
Ge 0.250 0.250 0.250
Ge 0.250 0.750 0.750
Ge 0.750 0.250 0.750
Ge 0.750 0.750 0.250



3.
CdSnHg2Ge | PBE | relaxed

Values from the calculation:
DFT formation energy   3.211 eV/f.u.
Calculated total energy   -6.9 eV/cell
Space group   P4/mmm (123)
N(E_F)   0.989 states/eV/atom

Cell lengths 5.567, 5.567, 5.484 Å; angles 90.00, 90.00, 90.00 degrees
Fractional positions:
Cd 0.000 0.000 0.000
Sn 0.000 0.000 0.500
Hg 0.000 0.500 0.500
Hg 0.500 0.000 0.500
Ge 0.500 0.500 0.000



4.
Sr2Cd3HgGe4 | PBE | relaxed

Values from the calculation:
DFT formation energy   -2.572 eV/f.u.
Calculated total energy   -27.5 eV/cell
Space group   P-4m2 (115)
N(E_F)   0.254 states/eV/atom

Cell lengths 4.624, 4.624, 11.625 Å; angles 90.00, 90.00, 90.00 degrees
Fractional positions:
Sr 0.000 0.500 0.248
Sr 0.500 0.000 0.752
Cd 0.000 0.000 0.000
Cd 0.000 0.500 0.633
Cd 0.500 0.000 0.367
Hg 0.500 0.500 0.000
Ge 0.000 0.000 0.500
Ge 0.000 0.500 0.861
Ge 0.500 0.000 0.139
Ge 0.500 0.500 0.500



5.
SrCd2HgGe | PBE | relaxed

Values from the calculation:
DFT formation energy   3.041 eV/f.u.
Calculated total energy   -5.4 eV/cell
Space group   P4/mmm (123)
N(E_F)   0.500 states/eV/atom

Cell lengths 6.717, 6.717, 6.004 Å; angles 90.00, 90.00, 90.00 degrees
Fractional positions:
Sr 0.000 0.000 0.000
Cd 0.000 0.500 0.000
Cd 0.500 0.000 0.000
Hg 0.500 0.500 0.500
Ge 0.000 0.000 0.500



6.
TbCdHgGe | PBE | relaxed

Values from the calculation:
DFT formation energy   -1.091 eV/f.u.
Calculated total energy   -46.2 eV/cell
Space group   F-43m (216)
N(E_F)   0.852 states/eV/atom

Cell lengths 7.168, 7.168, 7.168 Å; angles 90.00, 90.00, 90.00 degrees
Fractional positions:
Tb 0.000 0.000 0.000
Tb 0.000 0.500 0.500
Tb 0.500 0.000 0.500
Tb 0.500 0.500 0.000
Cd 0.000 0.000 0.500
Cd 0.000 0.500 0.000
Cd 0.500 0.000 0.000
Cd 0.500 0.500 0.500
Hg 0.250 0.250 0.750
Hg 0.250 0.750 0.250
Hg 0.750 0.250 0.250
Hg 0.750 0.750 0.750
Ge 0.250 0.250 0.250
Ge 0.250 0.750 0.750
Ge 0.750 0.250 0.750
Ge 0.750 0.750 0.250